DFT (GGA-PBE) results for TaZnCo3 after structural relaxation.

Cell: 4.1767 4.1767 4.1767 Å, 90.00 90.00 90.00°
Last column: nearest neighbours and their distance in Å.
Element x y z (fractional)
Zn1 0.0000 0.0000 0.0000  6 Co 2.09
Co1 0.0000 0.5000 0.0000  2 Zn 2.09
Co2 0.0000 0.0000 0.5000  2 Zn 2.09
Co3 0.5000 0.0000 0.0000  2 Zn 2.09
Ta1 0.5000 0.5000 0.5000  12 Co 2.95

Calculated values
Uncorrected energy ... -29.18 eV per cell
Total moment ... 0.000 Bohr magnetons per cell
Excess energy over the best structure of this formula in the dataset ... 0.713 eV/atom
Energy relative to the elements ... 1.053 eV/atom
D(E_F) ... 0.13 states/eV/f.u.
Space-group type ... Pm-3m

=====

DFT (GGA-PBE) results for TaZnCo3 after structural relaxation.

Cell: 4.4541 4.4541 4.4541 Å, 90.00 90.00 90.00°
Last column: nearest neighbours and their distance in Å.
Element x y z (fractional)
Zn1 0.5000 0.5000 0.5000  12 Co 3.15
Co1 0.0000 0.5000 0.0000  2 Ta 2.23
Co2 0.0000 0.0000 0.5000  2 Ta 2.23
Co3 0.5000 0.0000 0.0000  2 Ta 2.23
Ta1 0.0000 0.0000 0.0000  6 Co 2.23

Calculated values
Uncorrected energy ... -27.69 eV per cell
Total moment ... 0.000 Bohr magnetons per cell
Excess energy over the best structure of this formula in the dataset ... 1.012 eV/atom
Energy relative to the elements ... 1.351 eV/atom
D(E_F) ... 2.51 states/eV/f.u.
Space-group type ... Pm-3m

=====

DFT (GGA-PBE) results for TaZnCo2 after structural relaxation.

Cell: 4.7881 4.7881 3.5581 Å, 68.20 68.20 43.80°
Last column: nearest neighbours and their distance in Å.
Element x y z (fractional)
Co1 0.0000 0.0000 0.0001  4 Ta 2.52, 4 Zn 2.70-2.71, 4 Co 2.70-2.71
Co2 0.7498 0.7498 0.7501  4 Zn 2.52, 4 Ta 2.70-2.71, 4 Co 2.70-2.71
Ta1 0.5002 0.5002 0.4999  8 Co 2.52-2.71, 4 Zn 2.70-2.71
Zn1 0.2499 0.2499 0.2500  8 Co 2.52-2.71, 4 Ta 2.70-2.71

Calculated values
Uncorrected energy ... -27.77 eV per cell
Total moment ... 0.000 Bohr magnetons per cell
Energy relative to the elements ... -0.109 eV/atom
D(E_F) ... 1.91 states/eV/f.u.
Space-group type ... Imm2

=====

DFT (GGA-PBE) results for Ta2Zn2Co after structural relaxation.

Cell: 6.3345 6.3345 3.7708 Å, 90.00 90.00 90.00°
Last column: nearest neighbours and their distance in Å.
Element x y z (fractional)
Zn1 0.3655 0.8655 0.0000  1 Zn 2.41, 2 Co 2.47, 2 Ta 2.57
Zn2 0.8655 0.6345 0.0000  1 Zn 2.41, 2 Co 2.47, 2 Ta 2.57
Zn3 0.6345 0.1345 0.0000  1 Zn 2.41, 2 Co 2.47, 2 Ta 2.57
Zn4 0.1345 0.3655 0.0000  1 Zn 2.41, 2 Co 2.47, 2 Ta 2.57
Co1 0.0000 0.0000 0.0000  4 Zn 2.47
Co2 0.5000 0.5000 0.0000  4 Zn 2.47
Ta1 0.1708 0.6708 0.5000  6 Zn 2.57-2.71
Ta2 0.6708 0.8292 0.5000  6 Zn 2.57-2.71
Ta3 0.8292 0.3292 0.5000  6 Zn 2.57-2.71
Ta4 0.3292 0.1708 0.5000  6 Zn 2.57-2.71

Calculated values
Uncorrected energy ... -65.00 eV per cell
Total moment ... 1.555 Bohr magnetons per cell
Energy relative to the elements ... 0.171 eV/atom
D(E_F) ... 3.64 states/eV/f.u.
Space-group type ... P4/mbm